Entry 1:
VASP calculation (GGA-PBE) on a relaxed structure of YBe3Se.

Unit cell a=4.4279 b=4.4279 c=4.4279 alpha=90.00 beta=90.00 gamma=90.00
Closest atoms and distances in Å follow each position.
Element x y z (fractional)
Y: 0.0000 0.0000 0.0000  12 Be 3.13
Be: 0.0000 0.5000 0.5000  2 Se 2.21
Be: 0.5000 0.0000 0.5000  2 Se 2.21
Be: 0.5000 0.5000 0.0000  2 Se 2.21
Se: 0.5000 0.5000 0.5000  6 Be 2.21

SG: No. 221
Distance to the lowest polymorph of the same formula: 0 meV/atom
Formation energy without anion corrections: 0.634 eV/atom

Entry 2:
VASP calculation (GGA-PBE) on a relaxed structure of La2Mg12CdAg3.

Unit cell a=7.6630 b=7.6630 c=7.6630 alpha=84.33 beta=84.33 gamma=84.33
Closest atoms and distances in Å follow each position.
Element x y z (fractional)
La: 0.1036 0.1036 0.1036  1 La 3.01, 3 Mg 3.13
La: 0.8964 0.8964 0.8964  1 La 3.01, 3 Mg 3.13
Mg: 0.1280 0.1280 0.5541  2 Ag 2.92, 2 Mg 2.98-3.13
Mg: 0.1280 0.5541 0.1280  2 Ag 2.92, 2 Mg 2.98-3.13
Mg: 0.2061 0.6861 0.6861  1 Ag 2.80, 1 Cd 2.88, 3 Mg 2.95-2.98, 1 La 3.13
Mg: 0.3139 0.3139 0.7939  1 Ag 2.80, 1 Cd 2.88, 3 Mg 2.95-2.98, 1 La 3.13
Mg: 0.3139 0.7939 0.3139  1 Ag 2.80, 1 Cd 2.88, 3 Mg 2.95-2.98, 1 La 3.13
Mg: 0.4459 0.8720 0.8720  2 Ag 2.92, 2 Mg 2.98-3.13
Mg: 0.5541 0.1280 0.1280  2 Ag 2.92, 2 Mg 2.98-3.13
Mg: 0.6861 0.2061 0.6861  1 Ag 2.80, 1 Cd 2.88, 3 Mg 2.95-2.98, 1 La 3.13
Mg: 0.6861 0.6861 0.2061  1 Ag 2.80, 1 Cd 2.88, 3 Mg 2.95-2.98, 1 La 3.13
Mg: 0.7939 0.3139 0.3139  1 Ag 2.80, 1 Cd 2.88, 3 Mg 2.95-2.98, 1 La 3.13
Mg: 0.8720 0.4459 0.8720  2 Ag 2.92, 2 Mg 2.98-3.13
Mg: 0.8720 0.8720 0.4459  2 Ag 2.92, 2 Mg 2.98-3.13
Cd: 0.5000 0.5000 0.5000  6 Mg 2.88
Ag: 0.0000 0.5000 0.5000  6 Mg 2.80-2.92
Ag: 0.5000 0.0000 0.5000  6 Mg 2.80-2.92
Ag: 0.5000 0.5000 0.0000  6 Mg 2.80-2.92

SG: No. 166
Energy of formation: 1.55 eV per formula unit

Entry 3:
VASP calculation (GGA-PBE) on a relaxed structure of AcPrCdPt.

Unit cell a=7.6692 b=7.6692 c=7.6692 alpha=90.00 beta=90.00 gamma=90.00
Closest atoms and distances in Å follow each position.
Element x y z (fractional)
Ac: 0.0000 0.0000 0.0000  4 Cd 3.32, 4 Pt 3.32
Ac: 0.0000 0.5000 0.5000  4 Cd 3.32, 4 Pt 3.32
Ac: 0.5000 0.0000 0.5000  4 Cd 3.32, 4 Pt 3.32
Ac: 0.5000 0.5000 0.0000  4 Cd 3.32, 4 Pt 3.32
Pr: 0.0000 0.0000 0.5000  4 Pt 3.32, 4 Cd 3.32
Pr: 0.0000 0.5000 0.0000  4 Pt 3.32, 4 Cd 3.32
Pr: 0.5000 0.0000 0.0000  4 Pt 3.32, 4 Cd 3.32
Pr: 0.5000 0.5000 0.5000  4 Pt 3.32, 4 Cd 3.32
Cd: 0.2500 0.2500 0.2500  4 Pr 3.32, 4 Ac 3.32
Cd: 0.2500 0.7500 0.7500  4 Pr 3.32, 4 Ac 3.32
Cd: 0.7500 0.2500 0.7500  4 Pr 3.32, 4 Ac 3.32
Cd: 0.7500 0.7500 0.2500  4 Pr 3.32, 4 Ac 3.32
Pt: 0.2500 0.2500 0.7500  4 Ac 3.32, 4 Pr 3.32
Pt: 0.2500 0.7500 0.2500  4 Ac 3.32, 4 Pr 3.32
Pt: 0.7500 0.2500 0.2500  4 Ac 3.32, 4 Pr 3.32
Pt: 0.7500 0.7500 0.7500  4 Ac 3.32, 4 Pr 3.32

SG: No. 216
Energy of formation: -2.30 eV per formula unit